[1]
First-principles (PBE-GGA) data for a relaxed structure of TbEr5Tm3, as listed in the Alexandria database.

Output
Total magnetization: 0.00 μB/f.u.
Calculated density: 8.99 g cm⁻³
Fermi-level density of states: 22.9 states/eV/cell
Energy above the lowest structure with this stoichiometry: 0.0 meV per atom
Volume: 555.08 Å³/cell
E_tot: -4.405 eV/atom

a = 9.104 Å, b = 10.316 Å, c = 7.138 Å
α = 110.24°, β = 90.00°, γ = 116.18°
Positions (direct):
Tb: 0.300 0.000 0.250
Tm: 0.186 0.369 0.935
Er: 0.517 0.673 0.835
Er: 0.663 0.000 0.250
Er: 0.156 0.673 0.839
Tm: 0.000 0.000 0.500
Tm: 0.817 0.631 0.565
Er: 0.844 0.327 0.665
Er: 0.483 0.327 0.661
Tm: 0.183 0.369 0.435
Tb: 0.700 0.000 0.750
Tm: 0.000 0.000 0.000
Er: 0.156 0.673 0.335
Er: 0.517 0.673 0.339
Er: 0.337 0.000 0.750
Er: 0.483 0.327 0.165
Tm: 0.814 0.631 0.065
Er: 0.844 0.327 0.161

***

[2]
First-principles (PBE-GGA) data for a relaxed structure of TbEr12Tm5, as listed in the Alexandria database.

Output
Total magnetization: 0.00 μB/f.u.
Calculated density: 8.76 g cm⁻³
Fermi-level density of states: 35.5 states/eV/cell
Volume: 570.56 Å³/cell
E_tot: -4.119 eV/atom

a = 6.707 Å, b = 6.707 Å, c = 13.372 Å
α = 79.55°, β = 79.55°, γ = 98.94°
Positions (direct):
Tb: 0.000 0.000 0.000
Tm: 0.167 0.833 0.500
Tm: 0.833 0.167 0.500
Er: 0.525 0.189 0.333
Er: 0.475 0.811 0.667
Er: 0.189 0.525 0.333
Er: 0.139 0.139 0.668
Er: 0.877 0.543 0.167
Er: 0.861 0.861 0.332
Er: 0.457 0.123 0.833
Tm: 0.500 0.500 0.500
Er: 0.780 0.780 0.833
Er: 0.543 0.877 0.167
Er: 0.123 0.457 0.833
Tm: 0.669 0.331 0.000
Er: 0.220 0.220 0.167
Tm: 0.331 0.669 0.000
Er: 0.811 0.475 0.667

***

[3]
First-principles (PBE-GGA) data for a relaxed structure of TbEr5Tm7, as listed in the Alexandria database.

Output
Total magnetization: 0.02 μB/f.u.
Calculated density: 8.80 g cm⁻³
Fermi-level density of states: 25.6 states/eV/cell
Volume: 410.91 Å³/cell
E_tot: -4.254 eV/atom

a = 6.602 Å, b = 8.554 Å, c = 8.554 Å
α = 79.74°, β = 67.30°, γ = 67.30°
Positions (direct):
Tm: 0.481 0.190 0.848
Tm: 0.729 0.271 0.271
Tm: 0.481 0.848 0.190
Tm: 0.422 0.578 0.578
Er: 0.731 0.769 0.769
Tm: 0.231 0.269 0.269
Tb: 0.035 0.965 0.965
Tm: 0.981 0.349 0.688
Er: 0.999 0.996 0.541
Er: 0.464 0.541 0.996
Er: 0.999 0.541 0.996
Tm: 0.981 0.688 0.349
Er: 0.464 0.996 0.541

***

[4]
First-principles (PBE-GGA) data for a relaxed structure of TbEr14Tm, as listed in the Alexandria database.

Output
Total magnetization: 0.00 μB/f.u.
Calculated density: 9.07 g cm⁻³
Fermi-level density of states: 30.0 states/eV/cell
Volume: 488.67 Å³/cell
E_tot: -4.501 eV/atom

a = 6.843 Å, b = 6.843 Å, c = 10.974 Å
α = 90.00°, β = 90.00°, γ = 108.03°
Positions (direct):
Er: 0.835 0.585 0.750
Er: 0.038 0.372 0.000
Er: 0.415 0.165 0.750
Er: 0.346 0.654 0.232
Er: 0.622 0.788 0.500
Er: 0.904 0.096 0.733
Er: 0.346 0.654 0.768
Er: 0.628 0.962 0.000
Er: 0.835 0.585 0.250
Er: 0.555 0.445 0.000
Er: 0.904 0.096 0.267
Tm: 0.144 0.856 0.500
Tb: 0.697 0.303 0.500
Er: 0.415 0.165 0.250
Er: 0.212 0.378 0.500
Er: 0.105 0.895 0.000

***

[5]
First-principles (PBE-GGA) data for a relaxed structure of Tb5ErTm3, as listed in the Alexandria database.

Output
Total magnetization: 0.00 μB/f.u.
Calculated density: 7.37 g cm⁻³
Fermi-level density of states: 20.6 states/eV/cell
Energy above the lowest structure with this stoichiometry: 198.6 meV per atom
Volume: 661.84 Å³/cell
E_tot: -3.854 eV/atom

a = 7.593 Å, b = 9.344 Å, c = 10.767 Å
α = 106.87°, β = 90.00°, γ = 113.97°
Positions (direct):
Tm: 0.328 0.668 0.169
Er: 0.244 0.000 0.250
Tb: 0.921 0.335 0.580
Tb: 0.254 0.000 0.750
Tb: 0.414 0.335 0.080
Tm: 0.672 0.332 0.831
Er: 0.756 0.000 0.750
Tb: 0.086 0.668 0.915
Tb: 0.582 0.668 0.415
Tb: 0.079 0.665 0.420
Tb: 0.914 0.332 0.085
Tm: 0.000 0.000 0.500
Tb: 0.586 0.665 0.920
Tm: 0.659 0.332 0.331
Tm: 0.341 0.668 0.669
Tm: 0.000 0.000 0.000
Tb: 0.418 0.332 0.585
Tb: 0.746 0.000 0.250

***

[6]
First-principles (PBE-GGA) data for a relaxed structure of Tb4Er2Tm3, as listed in the Alexandria database.

Output
Total magnetization: 0.00 μB/f.u.
Calculated density: 8.84 g cm⁻³
Fermi-level density of states: 24.9 states/eV/cell
Energy above the lowest structure with this stoichiometry: 46.5 meV per atom
Volume: 554.71 Å³/cell
E_tot: -4.465 eV/atom

a = 6.091 Å, b = 9.819 Å, c = 9.819 Å
α = 71.66°, β = 85.35°, γ = 85.35°
Positions (direct):
Tb: 0.654 0.856 0.569
Tm: 0.420 0.264 0.070
Tb: 0.013 0.811 0.096
Tm: 0.920 0.070 0.264
Tm: 0.750 0.597 0.403
Er: 0.319 0.522 0.239
Tb: 0.487 0.904 0.189
Tb: 0.846 0.431 0.144
Er: 0.819 0.239 0.522
Er: 0.681 0.478 0.761
Tm: 0.580 0.736 0.930
Tb: 0.987 0.189 0.904
Tb: 0.513 0.096 0.811
Tm: 0.250 0.403 0.597
Tm: 0.080 0.930 0.736
Er: 0.181 0.761 0.478
Tb: 0.154 0.569 0.856
Tb: 0.346 0.144 0.431

***

[7]
First-principles (PBE-GGA) data for a relaxed structure of Tb6Y2Er2Tm, as listed in the Alexandria database.

Output
Total magnetization: 0.00 μB/f.u.
Calculated density: 7.54 g cm⁻³
Fermi-level density of states: 16.5 states/eV/cell
Volume: 359.90 Å³/cell
E_tot: -4.768 eV/atom

a = 6.377 Å, b = 6.377 Å, c = 11.825 Å
α = 99.50°, β = 99.50°, γ = 126.46°
Positions (direct):
Tb: 0.506 0.822 0.224
Y: 0.143 0.857 0.000
Y: 0.857 0.143 0.000
Tm: 0.000 0.000 0.500
Er: 0.322 0.678 0.500
Tb: 0.193 0.193 0.271
Tb: 0.494 0.178 0.776
Er: 0.678 0.322 0.500
Tb: 0.807 0.807 0.729
Tb: 0.178 0.494 0.776
Tb: 0.822 0.506 0.224

***

[8]
First-principles (PBE-GGA) data for a relaxed structure of Tb6Y3Er2Tm, as listed in the Alexandria database.

Output
Total magnetization: 0.00 μB/f.u.
Calculated density: 7.56 g cm⁻³
Fermi-level density of states: 16.5 states/eV/cell
Volume: 378.42 Å³/cell
E_tot: -5.045 eV/atom

a = 6.146 Å, b = 6.146 Å, c = 11.744 Å
α = 95.00°, β = 95.00°, γ = 119.97°
Positions (direct):
Tb: 0.917 0.584 0.752
Tm: 0.000 0.000 0.000
Er: 0.333 0.667 0.000
Tb: 0.083 0.416 0.248
Tb: 0.250 0.250 0.752
Tb: 0.416 0.083 0.248
Tb: 0.750 0.750 0.248
Y: 0.500 0.500 0.500
Y: 0.833 0.167 0.500
Tb: 0.584 0.917 0.752
Er: 0.667 0.333 0.000
Y: 0.167 0.833 0.500

***

[9]
First-principles (PBE-GGA) data for a relaxed structure of TbY2Er4Tm2, as listed in the Alexandria database.

Output
Total magnetization: 0.00 μB/f.u.
Calculated density: 7.92 g cm⁻³
Fermi-level density of states: 17.0 states/eV/cell
Volume: 281.89 Å³/cell
E_tot: -4.881 eV/atom

a = 6.653 Å, b = 9.727 Å, c = 6.610 Å
α = 121.04°, β = 126.34°, γ = 59.29°
Positions (direct):
Y: 0.267 0.659 0.597
Y: 0.733 0.341 0.403
Er: 0.269 0.120 0.811
Tm: 0.182 0.555 0.962
Er: 0.381 0.238 0.492
Er: 0.731 0.880 0.189
Tb: 0.000 0.000 0.000
Er: 0.619 0.762 0.508
Tm: 0.818 0.445 0.038

***

[10]
First-principles (PBE-GGA) data for a relaxed structure of TbY2ErTm5, as listed in the Alexandria database.

Output
Total magnetization: 0.01 μB/f.u.
Calculated density: 7.84 g cm⁻³
Fermi-level density of states: 28.1 states/eV/cell
Volume: 571.62 Å³/cell
E_tot: -4.787 eV/atom

a = 5.550 Å, b = 10.164 Å, c = 10.534 Å
α = 90.00°, β = 90.00°, γ = 105.84°
Positions (direct):
Tm: 0.283 0.566 0.305
Tm: 0.521 0.042 0.237
Y: 0.113 0.226 0.320
Tm: 0.020 0.039 0.027
Er: 0.586 0.172 0.958
Tm: 0.607 0.213 0.522
Y: 0.891 0.782 0.237
Er: 0.414 0.828 0.458
Tb: 0.202 0.404 0.010
Y: 0.887 0.774 0.820
Tm: 0.479 0.958 0.737
Tm: 0.300 0.600 0.708
Tm: 0.717 0.434 0.805
Tb: 0.798 0.596 0.510
Y: 0.109 0.218 0.737
Tm: 0.700 0.400 0.208
Tm: 0.980 0.961 0.527
Tm: 0.393 0.787 0.022

***

[11]
First-principles (PBE-GGA) data for a relaxed structure of TbY2Er2Tm2, as listed in the Alexandria database.

Output
Total magnetization: 0.00 μB/f.u.
Calculated density: 7.72 g cm⁻³
Fermi-level density of states: 10.1 states/eV/cell
Volume: 217.13 Å³/cell
E_tot: -5.063 eV/atom

a = 4.982 Å, b = 9.319 Å, c = 12.705 Å
α = 27.06°, β = 90.00°, γ = 105.50°
Positions (direct):
Y: 0.569 0.138 0.217
Tm: 0.713 0.426 0.645
Tb: 0.000 0.000 0.500
Y: 0.431 0.862 0.783
Er: 0.140 0.281 0.931
Tm: 0.287 0.574 0.355
Er: 0.860 0.719 0.069

***

[12]
First-principles (PBE-GGA) data for a relaxed structure of TbY2Er2Tm4, as listed in the Alexandria database.

Output
Total magnetization: 0.00 μB/f.u.
Calculated density: 7.96 g cm⁻³
Fermi-level density of states: 17.1 states/eV/cell
Volume: 281.06 Å³/cell
E_tot: -4.857 eV/atom

a = 6.652 Å, b = 9.689 Å, c = 6.621 Å
α = 120.91°, β = 126.36°, γ = 59.13°
Positions (direct):
Y: 0.734 0.340 0.404
Er: 0.818 0.445 0.040
Y: 0.266 0.660 0.596
Tm: 0.615 0.766 0.505
Tb: 0.000 0.000 0.000
Tm: 0.385 0.234 0.495
Tm: 0.730 0.880 0.186
Er: 0.182 0.555 0.960
Tm: 0.270 0.120 0.814

***

[13]
First-principles (PBE-GGA) data for a relaxed structure of Tb2Y3ErTm6, as listed in the Alexandria database.

Output
Total magnetization: 0.00 μB/f.u.
Calculated density: 7.91 g cm⁻³
Fermi-level density of states: 17.5 states/eV/cell
Volume: 370.57 Å³/cell
E_tot: -4.978 eV/atom

a = 6.099 Å, b = 6.099 Å, c = 11.672 Å
α = 94.99°, β = 94.99°, γ = 119.94°
Positions (direct):
Tb: 0.667 0.333 0.000
Tm: 0.917 0.584 0.751
Tm: 0.750 0.750 0.249
Y: 0.500 0.500 0.500
Tb: 0.333 0.667 0.000
Tm: 0.584 0.917 0.751
Tm: 0.083 0.416 0.249
Y: 0.833 0.167 0.500
Er: 0.000 0.000 0.000
Tm: 0.250 0.250 0.751
Tm: 0.416 0.083 0.249
Y: 0.167 0.833 0.500

***

[14]
First-principles (PBE-GGA) data for a relaxed structure of TbY3Er2Tm6, as listed in the Alexandria database.

Output
Total magnetization: 0.00 μB/f.u.
Calculated density: 7.98 g cm⁻³
Fermi-level density of states: 17.5 states/eV/cell
Volume: 369.20 Å³/cell
E_tot: -4.971 eV/atom

a = 6.091 Å, b = 6.091 Å, c = 11.662 Å
α = 94.99°, β = 94.99°, γ = 119.93°
Positions (direct):
Tb: 0.000 0.000 0.000
Y: 0.500 0.500 0.500
Tm: 0.917 0.583 0.752
Tm: 0.750 0.750 0.248
Tm: 0.583 0.917 0.752
Tm: 0.250 0.250 0.752
Tm: 0.417 0.083 0.248
Tm: 0.083 0.417 0.248
Y: 0.167 0.833 0.500
Y: 0.833 0.167 0.500
Er: 0.333 0.667 0.000
Er: 0.667 0.333 0.000

***

[15]
First-principles (PBE-GGA) data for a relaxed structure of TbYEr6Tm2, as listed in the Alexandria database.

Output
Total magnetization: 0.00 μB/f.u.
Calculated density: 8.43 g cm⁻³
Fermi-level density of states: 29.0 states/eV/cell
Volume: 625.83 Å³/cell
E_tot: -4.620 eV/atom

a = 9.446 Å, b = 8.697 Å, c = 8.697 Å
α = 118.01°, β = 93.70°, γ = 93.70°
Positions (direct):
Tb: 0.750 0.591 0.409
Er: 0.120 0.710 0.497
Er: 0.184 0.570 0.022
Y: 0.250 0.976 0.024
Er: 0.556 0.751 0.126
Er: 0.620 0.497 0.710
Er: 0.816 0.430 0.978
Er: 0.316 0.978 0.430
Tm: 0.956 0.696 0.805
Er: 0.056 0.126 0.751
Er: 0.880 0.290 0.503
Er: 0.944 0.874 0.249
Tm: 0.044 0.304 0.195
Tm: 0.456 0.805 0.696
Er: 0.444 0.249 0.874
Y: 0.750 0.024 0.976
Er: 0.684 0.022 0.570
Er: 0.380 0.503 0.290
Tb: 0.250 0.409 0.591
Tm: 0.544 0.195 0.304

***

[16]
First-principles (PBE-GGA) data for a relaxed structure of TbY6ErTm2, as listed in the Alexandria database.

Output
Total magnetization: 0.00 μB/f.u.
Calculated density: 6.19 g cm⁻³
Fermi-level density of states: 31.3 states/eV/cell
Volume: 642.05 Å³/cell
E_tot: -5.571 eV/atom

a = 9.542 Å, b = 8.743 Å, c = 8.743 Å
α = 117.35°, β = 94.00°, γ = 94.00°
Positions (direct):
Y: 0.444 0.245 0.879
Y: 0.184 0.567 0.015
Y: 0.383 0.507 0.293
Er: 0.250 0.409 0.591
Tm: 0.453 0.802 0.699
Tb: 0.750 0.025 0.975
Y: 0.556 0.755 0.121
Tm: 0.953 0.699 0.802
Y: 0.316 0.985 0.433
Y: 0.816 0.433 0.985
Y: 0.117 0.707 0.493
Y: 0.883 0.293 0.507
Tb: 0.250 0.975 0.025
Tm: 0.547 0.198 0.301
Y: 0.617 0.493 0.707
Y: 0.684 0.015 0.567
Tm: 0.047 0.301 0.198
Y: 0.944 0.879 0.245
Er: 0.750 0.591 0.409
Y: 0.056 0.121 0.755

***

[17]
First-principles (PBE-GGA) data for a relaxed structure of Tb2Y4Er2Tm, as listed in the Alexandria database.

Output
Total magnetization: 0.00 μB/f.u.
Calculated density: 6.86 g cm⁻³
Fermi-level density of states: 12.9 states/eV/cell
Volume: 284.81 Å³/cell
E_tot: -5.407 eV/atom

a = 3.581 Å, b = 9.474 Å, c = 9.496 Å
α = 115.32°, β = 90.00°, γ = 100.89°
Positions (direct):
Er: 0.334 0.667 0.001
Tb: 0.851 0.703 0.332
Tm: 0.000 0.000 0.000
Y: 0.481 0.963 0.667
Tb: 0.149 0.297 0.668
Y: 0.815 0.630 0.668
Y: 0.185 0.370 0.332
Y: 0.519 0.037 0.333
Er: 0.666 0.333 0.999

***

[18]
First-principles (PBE-GGA) data for a relaxed structure of TbY2Er5Tm, as listed in the Alexandria database.

Output
Total magnetization: 0.00 μB/f.u.
Calculated density: 7.73 g cm⁻³
Fermi-level density of states: 28.8 states/eV/cell
Volume: 576.27 Å³/cell
E_tot: -4.830 eV/atom

a = 5.563 Å, b = 10.206 Å, c = 10.550 Å
α = 90.00°, β = 90.00°, γ = 105.81°
Positions (direct):
Tb: 0.201 0.403 0.010
Er: 0.300 0.600 0.707
Y: 0.109 0.218 0.737
Tm: 0.413 0.827 0.459
Er: 0.020 0.039 0.026
Y: 0.887 0.773 0.819
Er: 0.607 0.214 0.522
Y: 0.113 0.227 0.319
Er: 0.717 0.434 0.805
Er: 0.521 0.041 0.238
Tb: 0.799 0.597 0.510
Er: 0.479 0.959 0.738
Er: 0.393 0.786 0.022
Er: 0.700 0.400 0.207
Er: 0.283 0.566 0.305
Y: 0.891 0.782 0.237
Er: 0.980 0.961 0.526
Tm: 0.587 0.173 0.959

***

[19]
First-principles (PBE-GGA) data for a relaxed structure of TbYErTm2, as listed in the Alexandria database.

Output
Total magnetization: 0.00 μB/f.u.
Calculated density: 7.45 g cm⁻³
Fermi-level density of states: 13.0 states/eV/cell
Volume: 335.69 Å³/cell
E_tot: -4.528 eV/atom

a = 7.152 Å, b = 8.272 Å, c = 7.022 Å
α = 126.09°, β = 90.00°, γ = 90.00°
Positions (direct):
Y: 0.250 0.271 0.542
Y: 0.750 0.729 0.458
Tb: 0.250 0.719 0.437
Er: 0.250 0.991 0.981
Tm: 0.500 0.310 0.000
Tm: 0.000 0.310 0.000
Tm: 0.000 0.690 0.000
Tb: 0.750 0.281 0.563
Tm: 0.500 0.690 0.000
Er: 0.750 0.009 0.019